Entry 1:
5
Lattice="-2.182 -4.219 2.582 3.235 -2.841 -1.909 3.268 0.889 4.215" Properties=species:S:1:pos:R:3 comment="CaBAsSe2 | the Alexandria database | GGA-PBE | optimized geometry" raw_formation_energy_ev_per_atom=1.107 sg="P4/mmm (123)" polymorph_energy_mev_per_atom=1205 magmom_total_mub_per_cell=0.000 crystal_system=tetragonal pbc="T T T"
Se -1.091 -2.110 1.291
Se 1.634 0.444 2.107
As 2.160 -3.086 2.444
B 1.618 -1.421 -0.954
Ca 0.000 0.000 0.000

Entry 2:
5
Lattice="-2.473 -4.239 -0.999 3.032 -0.851 -3.894 2.519 -2.036 2.406" Properties=species:S:1:pos:R:3 comment="CaBAsSe2 | the Alexandria database | GGA-PBE | optimized geometry" raw_formation_energy_ev_per_atom=-0.098 sg="P4/mmm (123)" polymorph_energy_mev_per_atom=0 magmom_total_mub_per_cell=0.000 crystal_system=tetragonal pbc="T T T"
B 0.000 0.000 0.000
Se 1.516 -0.425 -1.947
Se -1.236 -2.119 -0.500
As 1.259 -1.018 1.203
Ca 1.539 -3.563 -1.244

Entry 3:
5
Lattice="-2.703 3.410 -2.053 0.843 -1.522 -3.639 -3.851 -2.867 0.307" Properties=species:S:1:pos:R:3 comment="CaSiBAs2 | the Alexandria database | GGA-PBE | optimized geometry" raw_formation_energy_ev_per_atom=0.233 sg="P4/mmm (123)" magmom_total_mub_per_cell=0.000 crystal_system=tetragonal pbc="T T T"
As -1.351 1.705 -1.026
As -1.926 -1.434 0.154
Si 0.421 -0.761 -1.819
Ca -2.855 -0.490 -2.692
B 0.000 0.000 0.000

In states/eV/atom, the DOS(E_F) values for the records above are, in order, 0.89 0.33 0.40.